Record 1
Computed, not measured: crystalline K2SrCdI6 at its relaxed geometry at the PBE level of DFT.

a = 8.5432 Å, b = 8.5432 Å, c = 21.4863 Å
α = 90.00°, β = 90.00°, γ = 120.00°
Space group R3 (No. 146, hexagonal axes)
Symmetry-distinct sites (fractional):
K 0.0000 0.0000 0.0000 [3 per cell]
K 0.0000 0.0000 0.4991 [3 per cell]
Sr 0.0000 0.0000 0.2873 [3 per cell]
Cd 0.0000 0.0000 0.7879 [3 per cell]
I 0.0240 0.6157 0.5414 [9 per cell]
I 0.0683 0.3407 0.3804 [9 per cell]

Summary:
VASP energy = -2.65 eV/atom
Uncorrected formation energy = -1237 meV per atom

=====

Record 2
Computed, not measured: crystalline KTbCdI6 at its relaxed geometry at the PBE level of DFT.

a = 7.8377 Å, b = 7.8377 Å, c = 15.6861 Å
α = 90.00°, β = 90.00°, γ = 120.00°
Space group P-31c (No. 163)
Symmetry-distinct sites (fractional):
K 0.0000 0.0000 0.0000 [2 per cell]
Tb 0.3333 0.6667 0.2500 [2 per cell]
Cd 0.3333 0.6667 0.7500 [2 per cell]
I 0.0018 0.3695 0.6375 [12 per cell]

Summary:
VASP energy = -2.90 eV/atom
Uncorrected formation energy = -1131 meV per atom

=====

Record 3
Computed, not measured: crystalline K2Tl3CdI6 at its relaxed geometry at the PBE level of DFT.

a = 8.602 Å, b = 14.912 Å, c = 8.625 Å
α = 90.00°, β = 109.24°, γ = 90.00°
Space group C2/m (No. 12)
Symmetry-distinct sites (fractional):
K 0.000 0.165 0.000 [4 per cell]
Tl 0.000 0.000 0.500 [2 per cell]
Tl 0.000 0.327 0.500 [4 per cell]
Cd 0.000 0.500 0.000 [2 per cell]
I 0.236 0.500 0.753 [4 per cell]
I 0.239 0.340 0.240 [8 per cell]

Summary:
VASP energy = -2.45 eV/atom
Uncorrected formation energy = -824 meV per atom

=====

Record 4
Computed, not measured: crystalline K3Tl3CdI8 at its relaxed geometry at the PBE level of DFT.

a = 10.0099 Å, b = 10.0099 Å, c = 24.5062 Å
α = 90.00°, β = 90.00°, γ = 120.00°
Space group R-3m (No. 166, hexagonal axes)
Symmetry-distinct sites (fractional):
K 0.0000 0.5000 0.0000 [9 per cell]
Tl 0.0000 0.5000 0.5000 [9 per cell]
Cd 0.0000 0.0000 0.0000 [3 per cell]
I 0.0000 0.0000 0.2506 [6 per cell]
I 0.0444 0.5222 0.7393 [18 per cell]

Summary:
VASP energy = -2.55 eV/atom
Uncorrected formation energy = -965 meV per atom

=====

Record 5
Computed, not measured: crystalline KTlCd2I6 at its relaxed geometry at the PBE level of DFT.

a = 16.292 Å, b = 14.296 Å, c = 8.640 Å
α = 90.00°, β = 106.30°, γ = 90.00°
Space group C2/c (No. 15)
Symmetry-distinct sites (fractional):
K 0.000 0.184 0.250 [4 per cell]
Tl 0.000 0.397 0.750 [4 per cell]
Cd 0.210 0.092 0.739 [8 per cell]
I 0.112 0.406 0.159 [8 per cell]
I 0.128 0.042 0.988 [8 per cell]
I 0.142 0.264 0.616 [8 per cell]

Summary:
VASP energy = -2.24 eV/atom
Uncorrected formation energy = -776 meV per atom

=====

Record 6
Computed, not measured: crystalline KTlCdI4 at its relaxed geometry at the PBE level of DFT.

a = 8.280 Å, b = 8.318 Å, c = 9.585 Å
α = 90.00°, β = 107.41°, γ = 90.00°
Space group P2_1/m (No. 11)
Symmetry-distinct sites (fractional):
K 0.229 0.250 0.062 [2 per cell]
Tl 0.233 0.250 0.557 [2 per cell]
Cd 0.242 0.750 0.805 [2 per cell]
I 0.003 0.007 0.744 [4 per cell]
I 0.433 0.750 0.608 [2 per cell]
I 0.434 0.750 0.101 [2 per cell]

Summary:
VASP energy = -2.37 eV/atom
Uncorrected formation energy = -861 meV per atom

=====

Record 7
Computed, not measured: crystalline KTmCdI6 at its relaxed geometry at the PBE level of DFT.

a = 7.7806 Å, b = 7.7806 Å, c = 15.6915 Å
α = 90.00°, β = 90.00°, γ = 120.00°
Space group P-31c (No. 163)
Symmetry-distinct sites (fractional):
K 0.0000 0.0000 0.0000 [2 per cell]
Tm 0.3333 0.6667 0.2500 [2 per cell]
Cd 0.3333 0.6667 0.7500 [2 per cell]
I 0.0025 0.3701 0.1386 [12 per cell]

Summary:
VASP energy = -2.87 eV/atom
Uncorrected formation energy = -1120 meV per atom

=====

Record 8
Computed, not measured: crystalline KZnCdI2 at its relaxed geometry at the PBE level of DFT.

a = 6.110 Å, b = 6.110 Å, c = 6.600 Å
α = 90.00°, β = 90.00°, γ = 90.00°
Space group P4/mmm (No. 123)
Symmetry-distinct sites (fractional):
K 0.000 0.000 0.000 [1 per cell]
Zn 0.500 0.500 0.000 [1 per cell]
Cd 0.000 0.000 0.500 [1 per cell]
I 0.000 0.500 0.500 [2 per cell]

Summary:
VASP energy = -1.49 eV/atom
Uncorrected formation energy = -216 meV per atom

=====

Record 9
Computed, not measured: crystalline LaCd2I at its relaxed geometry at the PBE level of DFT.

a = 9.157 Å, b = 9.157 Å, c = 6.345 Å
α = 90.00°, β = 90.00°, γ = 90.00°
Space group I-42d (No. 122)
Symmetry-distinct sites (fractional):
La 0.000 0.000 0.000 [4 per cell]
Cd 0.249 0.250 0.125 [8 per cell]
I 0.000 0.000 0.500 [4 per cell]

Summary:
VASP energy = -2.34 eV/atom
Uncorrected formation energy = -266 meV per atom

=====

Record 10
Computed, not measured: crystalline LaCd2I8 at its relaxed geometry at the PBE level of DFT.

a = 12.441 Å, b = 13.077 Å, c = 6.966 Å
α = 90.00°, β = 93.44°, γ = 90.00°
Space group C2/m (No. 12)
Symmetry-distinct sites (fractional):
La 0.000 0.000 0.000 [2 per cell]
Cd 0.245 0.000 0.663 [4 per cell]
I 0.029 0.500 0.255 [4 per cell]
I 0.121 0.172 0.768 [8 per cell]
I 0.221 0.000 0.254 [4 per cell]

Summary:
VASP energy = -2.55 eV/atom
Uncorrected formation energy = -804 meV per atom

=====

Record 11
Computed, not measured: crystalline La2CdI at its relaxed geometry at the PBE level of DFT.

a = 3.796 Å, b = 3.796 Å, c = 8.723 Å
α = 90.00°, β = 90.00°, γ = 90.00°
Space group P4/mmm (No. 123)
Symmetry-distinct sites (fractional):
La 0.000 0.000 0.238 [2 per cell]
Cd 0.500 0.500 0.000 [1 per cell]
I 0.500 0.500 0.500 [1 per cell]

Summary:
VASP energy = -3.68 eV/atom
Uncorrected formation energy = -603 meV per atom

=====

Record 12
Computed, not measured: crystalline La4CdI5 at its relaxed geometry at the PBE level of DFT.

a = 19.841 Å, b = 4.354 Å, c = 9.615 Å
α = 90.00°, β = 101.86°, γ = 90.00°
Space group C2/m (No. 12)
Symmetry-distinct sites (fractional):
La 0.002 0.000 0.235 [4 per cell]
La 0.162 0.500 0.073 [4 per cell]
Cd 0.000 0.500 0.000 [2 per cell]
I 0.000 0.500 0.500 [2 per cell]
I 0.169 0.000 0.817 [4 per cell]
I 0.170 0.000 0.331 [4 per cell]

Summary:
VASP energy = -3.93 eV/atom
Uncorrected formation energy = -1094 meV per atom

=====

Record 13
Computed, not measured: crystalline La2CdI at its relaxed geometry at the PBE level of DFT.

a = 7.943 Å, b = 7.943 Å, c = 7.943 Å
α = 90.00°, β = 90.00°, γ = 90.00°
Space group Fm-3m (No. 225)
Symmetry-distinct sites (fractional):
La 0.250 0.250 0.250 [8 per cell]
Cd 0.000 0.000 0.000 [4 per cell]
I 0.000 0.000 0.500 [4 per cell]

Summary:
VASP energy = -3.58 eV/atom
Uncorrected formation energy = -502 meV per atom

=====

Record 14
Computed, not measured: crystalline La2Cd2I at its relaxed geometry at the PBE level of DFT.

a = 9.139 Å, b = 9.139 Å, c = 3.860 Å
α = 90.00°, β = 90.00°, γ = 90.00°
Space group P4/mbm (No. 127)
Symmetry-distinct sites (fractional):
La 0.184 0.316 0.000 [4 per cell]
Cd 0.111 0.611 0.500 [4 per cell]
I 0.000 0.000 0.500 [2 per cell]

Summary:
VASP energy = -3.02 eV/atom
Uncorrected formation energy = -368 meV per atom

=====

Record 15
Computed, not measured: crystalline LaCd2I6 at its relaxed geometry at the PBE level of DFT.

a = 8.1089 Å, b = 8.1089 Å, c = 23.8273 Å
α = 90.00°, β = 90.00°, γ = 120.00°
Space group R3 (No. 146, hexagonal axes)
Symmetry-distinct sites (fractional):
La 0.0000 0.0000 0.0000 [3 per cell]
Cd 0.0000 0.0000 0.2735 [3 per cell]
Cd 0.0000 0.0000 0.3933 [3 per cell]
I 0.0013 0.6930 0.9154 [9 per cell]
I 0.0024 0.3082 0.0851 [9 per cell]

Summary:
VASP energy = -2.64 eV/atom
Uncorrected formation energy = -856 meV per atom

=====

Record 16
Computed, not measured: crystalline La3CdI at its relaxed geometry at the PBE level of DFT.

a = 5.934 Å, b = 5.934 Å, c = 5.934 Å
α = 90.00°, β = 90.00°, γ = 90.00°
Space group Pm-3m (No. 221)
Symmetry-distinct sites (fractional):
La 0.000 0.000 0.500 [3 per cell]
Cd 0.500 0.500 0.500 [1 per cell]
I 0.000 0.000 0.000 [1 per cell]

Summary:
VASP energy = -3.46 eV/atom
Uncorrected formation energy = -15 meV per atom

=====

Record 17
Computed, not measured: crystalline LaCdI6 at its relaxed geometry at the PBE level of DFT.

a = 7.676 Å, b = 7.766 Å, c = 8.017 Å
α = 113.28°, β = 94.81°, γ = 118.82°
Space group P-1 (No. 2)
Symmetry-distinct sites (fractional):
La 0.000 0.000 0.000 [1 per cell]
Cd 0.500 0.000 0.500 [1 per cell]
I 0.070 0.497 0.200 [2 per cell]
I 0.249 0.135 0.736 [2 per cell]
I 0.450 0.196 0.277 [2 per cell]

Summary:
VASP energy = -2.71 eV/atom
Uncorrected formation energy = -817 meV per atom

=====

Record 18
Computed, not measured: crystalline La2Cd2I at its relaxed geometry at the PBE level of DFT.

a = 4.153 Å, b = 4.153 Å, c = 18.326 Å
α = 90.00°, β = 90.00°, γ = 90.00°
Space group I4/mmm (No. 139)
Symmetry-distinct sites (fractional):
La 0.000 0.000 0.104 [4 per cell]
Cd 0.000 0.500 0.250 [4 per cell]
I 0.000 0.000 0.500 [2 per cell]

Summary:
VASP energy = -3.01 eV/atom
Uncorrected formation energy = -363 meV per atom

=====

Record 19
Computed, not measured: crystalline La2CdI at its relaxed geometry at the PBE level of DFT.

a = 4.0007 Å, b = 4.0007 Å, c = 29.0880 Å
α = 90.00°, β = 90.00°, γ = 120.00°
Space group R3m (No. 160, hexagonal axes)
Symmetry-distinct sites (fractional):
La 0.0000 0.0000 0.0000 [3 per cell]
La 0.0000 0.0000 0.1694 [3 per cell]
Cd 0.0000 0.0000 0.5848 [3 per cell]
I 0.0000 0.0000 0.4181 [3 per cell]

Summary:
VASP energy = -3.68 eV/atom
Uncorrected formation energy = -597 meV per atom

=====

Record 20
Computed, not measured: crystalline La6CdI8 at its relaxed geometry at the PBE level of DFT.

a = 7.7690 Å, b = 7.7690 Å, c = 35.6149 Å
α = 90.00°, β = 90.00°, γ = 120.00°
Space group R-3 (No. 148, hexagonal axes)
Symmetry-distinct sites (fractional):
La 0.9999 0.3269 0.4473 [18 per cell]
Cd 0.0000 0.0000 0.5000 [3 per cell]
I 0.0000 0.0000 0.1667 [6 per cell]
I 0.9999 0.3351 0.6096 [18 per cell]

Summary:
VASP energy = -4.01 eV/atom
Uncorrected formation energy = -1151 meV per atom